## Sr2CaSiH (GGA-PBE)

Data for an optimized crystal structure of Sr2CaSiH.

Cell lengths 5.0474, 5.0474, 4.9753 Å; angles 90.00, 90.00, 90.00 degrees
Fractional coordinates of all 5 atoms:
Sr  0.0000  0.5000  0.0000
Sr  0.5000  0.0000  0.0000
Ca  0.0000  0.0000  0.5000
Si  0.5000  0.5000  0.5000
H  0.0000  0.0000  0.0000

uncorrected energy	-3.0383	eV/atom
mass density	3.20	g/cm³
size of the total moment	0.00	Bohr magnetons per cell



## CeAgPd (GGA-PBE)

Data for an optimized crystal structure of CeAgPd.

Cell lengths 3.7021, 3.7021, 5.4188 Å; angles 109.97, 109.97, 90.00 degrees
Fractional coordinates of all 3 atoms:
Pd  0.9521  0.9521  0.9042
Ag  0.2909  0.2909  0.5818
Ce  0.6070  0.6070  0.2141

uncorrected energy	-5.0292	eV/atom
mass density	9.05	g/cm³
size of the total moment	0.70	Bohr magnetons per cell



## GdPu2Zr (GGA-PBE)

Data for an optimized crystal structure of GdPu2Zr.

Cell lengths 4.7617, 4.6651, 4.6651 Å; angles 90.00, 90.00, 90.00 degrees
Fractional coordinates of all 4 atoms:
Gd  0.5000  0.0000  0.0000
Zr  0.5000  0.5000  0.5000
Pu  0.0000  0.0000  0.5000
Pu  0.0000  0.5000  0.0000

uncorrected energy	-12.6258	eV/atom
mass density	11.80	g/cm³
size of the total moment	4.09	Bohr magnetons per cell



## La6PmSm8 (GGA-PBE)

Data for an optimized crystal structure of La6PmSm8.

Cell lengths 8.9045, 8.9045, 8.9045 Å; angles 62.99, 62.99, 62.99 degrees
Fractional coordinates of all 15 atoms:
La  0.9046  0.4646  0.7632
La  0.2368  0.0954  0.5354
La  0.5354  0.2368  0.0954
La  0.4646  0.7632  0.9046
La  0.7632  0.9046  0.4646
La  0.0954  0.5354  0.2368
Pm  0.0000  0.0000  0.0000
Sm  0.1139  0.7082  0.7587
Sm  0.2413  0.8861  0.2918
Sm  0.2918  0.2413  0.8861
Sm  0.5770  0.5770  0.5770
Sm  0.4230  0.4230  0.4230
Sm  0.7082  0.7587  0.1139
Sm  0.7587  0.1139  0.7082
Sm  0.8861  0.2918  0.2413

uncorrected energy	-4.6980	eV/atom
mass density	6.80	g/cm³
size of the total moment	0.00	Bohr magnetons per cell



## SmTlPd (GGA-PBE)

Data for an optimized crystal structure of SmTlPd.

Cell lengths 3.6063, 4.7983, 4.7983 Å; angles 120.00, 90.00, 90.00 degrees
Fractional coordinates of all 3 atoms:
Tl  0.1667  0.3333  0.6667
Pd  0.1666  0.0000  0.0000
Sm  0.6667  0.6667  0.3333

uncorrected energy	-4.6369	eV/atom
mass density	10.65	g/cm³
size of the total moment	0.00	Bohr magnetons per cell



## Y2BiIrC (GGA-PBE)

Data for an optimized crystal structure of Y2BiIrC.

Cell lengths 5.2162, 5.2162, 3.9222 Å; angles 90.00, 90.00, 90.00 degrees
Fractional coordinates of all 5 atoms:
Y  0.0000  0.5000  0.0000
Y  0.5000  0.0000  0.0000
C  0.0000  0.0000  0.0000
Ir  0.0000  0.0000  0.5000
Bi  0.5000  0.5000  0.5000

uncorrected energy	-7.5039	eV/atom
mass density	9.20	g/cm³
size of the total moment	0.00	Bohr magnetons per cell



## LiNiCl2 (GGA-PBE)

Data for an optimized crystal structure of LiNiCl2.

Cell lengths 4.4947, 4.4947, 3.1335 Å; angles 90.00, 90.00, 90.00 degrees
Fractional coordinates of all 4 atoms:
Cl  0.0000  0.0000  0.0000
Cl  0.5000  0.5000  0.0000
Li  0.5000  0.0000  0.5000
Ni  0.0000  0.5000  0.5000

mass density	3.58	g/cm³
energy relative to the elements, uncorrected	-2.18	eV per formula unit
size of the total moment	1.00	Bohr magnetons per cell



## Pu2IrPt3 (GGA-PBE)

Data for an optimized crystal structure of Pu2IrPt3.

Cell lengths 5.4014, 5.4014, 5.4508 Å; angles 89.98, 119.71, 120.01 degrees
Fractional coordinates of all 6 atoms:
Pu  0.7466  0.3733  0.1200
Pu  0.2534  0.6267  0.8800
Ir  0.0000  0.0000  0.0000
Pt  0.5000  0.5000  0.5000
Pt  0.0000  0.0000  0.5000
Pt  0.5000  0.0000  0.5000

uncorrected energy	-10.0352	eV/atom
mass density	18.61	g/cm³
size of the total moment	10.25	Bohr magnetons per cell



## PbICl6 (GGA-PBE)

Data for an optimized crystal structure of PbICl6.

Cell lengths 7.0905, 6.9193, 8.3575 Å; angles 72.36, 53.74, 59.18 degrees
Fractional coordinates of all 8 atoms:
Pb  0.0000  0.0000  0.5000
I  0.0000  0.0000  0.0000
Cl  0.4649  0.0000  0.2652
Cl  0.1585  0.6965  0.7856
Cl  0.5351  0.0000  0.7348
Cl  0.1450  0.6965  0.2144
Cl  0.8415  0.3035  0.2144
Cl  0.8550  0.3035  0.7856

mass density	3.20	g/cm³
energy relative to the elements, uncorrected	-3.42	eV per formula unit
size of the total moment	0.00	Bohr magnetons per cell



## Na2CeZrS4 (GGA-PBE)

Data for an optimized crystal structure of Na2CeZrS4.

Cell lengths 3.8922, 6.7541, 7.1286 Å; angles 108.32, 90.00, 90.00 degrees
Fractional coordinates of all 8 atoms:
Na  0.5000  0.0000  0.5000
Na  0.0000  0.5000  0.5000
Ce  0.0000  0.0000  0.0000
Zr  0.5000  0.5000  0.0000
S  0.5000  0.2617  0.2331
S  0.5000  0.7383  0.7669
S  0.0000  0.2738  0.7756
S  0.0000  0.7262  0.2244

mass density	3.79	g/cm³
energy relative to the elements, uncorrected	-12.67	eV per formula unit
size of the total moment	1.60	Bohr magnetons per cell



## MgReSb2 (GGA-PBE)

Data for an optimized crystal structure of MgReSb2.

Cell lengths 7.0918, 4.8243, 3.4804 Å; angles 89.80, 60.92, 124.04 degrees
Fractional coordinates of all 4 atoms:
Mg  0.0000  0.5000  0.5000
Re  0.5000  0.5000  0.0000
Sb  0.0000  0.0000  0.0000
Sb  0.5000  0.0000  0.5000

mass density	9.45	g/cm³
energy relative to the elements, uncorrected	1.90	eV per formula unit
size of the total moment	0.00	Bohr magnetons per cell



## FeHPtRh2 (GGA-PBE)

Data for an optimized crystal structure of FeHPtRh2.

Cell lengths 4.7408, 2.9081, 4.7408 Å; angles 90.00, 90.00, 90.00 degrees
Fractional coordinates of all 5 atoms:
H  0.0000  0.5000  0.0000
Rh  0.0000  0.0000  0.5000
Rh  0.5000  0.0000  0.0000
Fe  0.0000  0.0000  0.0000
Pt  0.5000  0.5000  0.5000

uncorrected energy	-6.0097	eV/atom
mass density	11.63	g/cm³
size of the total moment	3.67	Bohr magnetons per cell



## Ho3ErPu (GGA-PBE)

Data for an optimized crystal structure of Ho3ErPu.

Cell lengths 4.9407, 6.9657, 9.2460 Å; angles 78.97, 105.50, 90.00 degrees
Fractional coordinates of all 10 atoms:
Ho  0.0007  0.7460  0.0014
Ho  0.9993  0.2540  0.9986
Ho  0.3996  0.0504  0.7993
Ho  0.6004  0.9496  0.2007
Ho  0.2014  0.6464  0.4027
Ho  0.7986  0.3536  0.5973
Er  0.8017  0.8467  0.6034
Er  0.1983  0.1533  0.3966
Pu  0.5985  0.4504  0.1971
Pu  0.4015  0.5496  0.8029

uncorrected energy	-6.4465	eV/atom
mass density	10.01	g/cm³
size of the total moment	12.92	Bohr magnetons per cell



## ReAgAs2Br (GGA-PBE)

Data for an optimized crystal structure of ReAgAs2Br.

Cell lengths 4.7276, 4.7276, 5.6572 Å; angles 90.00, 90.00, 90.00 degrees
Fractional coordinates of all 5 atoms:
Re  0.0000  0.0000  0.0000
As  0.0000  0.5000  0.0000
As  0.5000  0.0000  0.0000
Br  0.0000  0.0000  0.5000
Ag  0.5000  0.5000  0.5000

mass density	6.88	g/cm³
energy relative to the elements, uncorrected	2.86	eV per formula unit
size of the total moment	0.00	Bohr magnetons per cell



## YTiNb (GGA-PBE)

Data for an optimized crystal structure of YTiNb.

Cell lengths 3.0376, 3.2631, 15.9898 Å; angles 106.31, 84.55, 62.26 degrees
Fractional coordinates of all 6 atoms:
Ti  0.7267  0.1202  0.4264
Ti  0.2733  0.8798  0.5736
Nb  0.1867  0.3435  0.2831
Nb  0.8133  0.6565  0.7169
Y  0.1673  0.5567  0.1087
Y  0.8327  0.4433  0.8913

uncorrected energy	-7.8451	eV/atom
mass density	5.88	g/cm³
size of the total moment	0.00	Bohr magnetons per cell



## Pr2SnH (GGA-PBE)

Data for an optimized crystal structure of Pr2SnH.

Cell lengths 4.2151, 4.2152, 6.1405 Å; angles 110.07, 110.07, 90.00 degrees
Fractional coordinates of all 4 atoms:
Pr  0.8732  0.5334  0.5315
Pr  0.5691  0.2292  0.9248
Sn  0.2214  0.8812  0.2282
H  0.4715  0.6309  0.7282

uncorrected energy	-4.8392	eV/atom
mass density	6.99	g/cm³
size of the total moment	0.68	Bohr magnetons per cell



## Mg2Zn2Pd (GGA-PBE)

Data for an optimized crystal structure of Mg2Zn2Pd.

Cell lengths 5.3152, 5.3152, 7.3382 Å; angles 73.68, 73.68, 60.82 degrees
Fractional coordinates of all 10 atoms:
Mg  0.4518  0.2112  0.1396
Mg  0.7888  0.5482  0.3604
Mg  0.5482  0.7888  0.8604
Mg  0.2112  0.4518  0.6396
Zn  0.7448  0.0263  0.4721
Zn  0.9737  0.2552  0.0279
Zn  0.2552  0.9737  0.5279
Zn  0.0263  0.7448  0.9721
Pd  0.2446  0.7554  0.2500
Pd  0.7554  0.2446  0.7500

uncorrected energy	-2.5373	eV/atom
mass density	5.55	g/cm³
size of the total moment	0.00	Bohr magnetons per cell



## CePu2Pd9 (GGA-PBE)

Data for an optimized crystal structure of CePu2Pd9.

Cell lengths 4.1509, 4.1509, 12.4591 Å; angles 90.00, 90.00, 90.00 degrees
Fractional coordinates of all 12 atoms:
Ce  0.0000  0.0000  0.0000
Pu  0.0000  0.0000  0.3346
Pu  0.0000  0.0000  0.6654
Pd  0.5000  0.5000  0.0000
Pd  0.5000  0.5000  0.3323
Pd  0.5000  0.5000  0.6677
Pd  0.5000  0.0000  0.1649
Pd  0.5000  0.0000  0.5000
Pd  0.5000  0.0000  0.8351
Pd  0.0000  0.5000  0.1649
Pd  0.0000  0.5000  0.5000
Pd  0.0000  0.5000  0.8351

uncorrected energy	-7.4336	eV/atom
mass density	12.27	g/cm³
size of the total moment	9.60	Bohr magnetons per cell



## BeTcMo2 (GGA-PBE)

Data for an optimized crystal structure of BeTcMo2.

Cell lengths 4.7451, 4.7451, 2.7394 Å; angles 90.00, 90.00, 112.89 degrees
Fractional coordinates of all 4 atoms:
Be  0.0000  0.5000  0.5000
Mo  0.0000  0.0000  0.0000
Mo  0.5000  0.5000  0.0000
Tc  0.5000  0.0000  0.5000

uncorrected energy	-8.7460	eV/atom
mass density	8.73	g/cm³
size of the total moment	0.00	Bohr magnetons per cell



## Tb3ZnPt (GGA-PBE)

Data for an optimized crystal structure of Tb3ZnPt.

Cell lengths 4.9901, 4.9814, 10.1009 Å; angles 90.00, 75.70, 90.00 degrees
Fractional coordinates of all 10 atoms:
Tb  0.7541  0.2500  0.1402
Tb  0.3921  0.2500  0.8642
Tb  0.5738  0.2500  0.5008
Tb  0.2563  0.7500  0.1358
Tb  0.8943  0.7500  0.8598
Tb  0.0746  0.7500  0.4992
Zn  0.4809  0.7500  0.6865
Zn  0.1674  0.2500  0.3135
Pt  0.6607  0.7500  0.3271
Pt  0.9877  0.2500  0.6729

uncorrected energy	-4.8575	eV/atom
mass density	10.06	g/cm³
size of the total moment	0.00	Bohr magnetons per cell